DFT (meta-GGA SCAN) results for a PBEsol-optimized structure of KLi2SnBi.

abc: 5.0642 5.0642 5.9333
angles: 90.00 90.00 90.00
Last column: nearest neighbours and their distance in Å.
Positions (direct):
Li (0.0000, 0.5000, 0.0000)  2 K 2.53
Li (0.5000, 0.0000, 0.0000)  2 K 2.53
Bi (0.5000, 0.5000, 0.5000)  4 Sn 3.58, 8 Li 3.90
Sn (0.0000, 0.0000, 0.5000)  2 K 2.97
K (0.0000, 0.0000, 0.0000)  4 Li 2.53

Its space group is No. 123. The calculation puts the density of states at the Fermi level at 0.548 states/eV/atom. The formation energy comes out at 14.14 kcal/mol of atoms. The value obtained for the electronic total energy is -124.54 eV/cell.


DFT (meta-GGA SCAN) results for a PBEsol-optimized structure of BaCo4Cu.

abc: 5.0115 5.0115 5.0115
angles: 60.00 60.00 60.00
Last column: nearest neighbours and their distance in Å.
Positions (direct):
Cu (0.7500, 0.7500, 0.7500)  12 Co 2.93, 4 Ba 3.07
Co (0.3771, 0.3771, 0.3771)  6 Co 2.46-2.55
Co (0.8687, 0.3771, 0.3771)  6 Co 2.46-2.55
Co (0.3771, 0.8687, 0.3771)  6 Co 2.46-2.55
Co (0.3771, 0.3771, 0.8687)  6 Co 2.46-2.55
Ba (0.0000, 0.0000, 0.0000)  12 Co 2.94, 4 Cu 3.07

Its space group is No. 216. The calculation puts the density of states at the Fermi level at 1.223 states/eV/atom. The formation energy comes out at 16.02 kcal/mol of atoms. The value obtained for the electronic total energy is -119.80 eV/cell.


DFT (meta-GGA SCAN) results for a PBEsol-optimized structure of DyGaCo4.

abc: 3.9410 4.8042 4.9045
angles: 60.67 90.00 90.00
Last column: nearest neighbours and their distance in Å.
Positions (direct):
Dy (0.0000, 0.5000, 0.0000)  6 Co 2.70-2.87
Co (0.5000, 0.5000, 0.5000)  6 Co 2.37-2.40, 2 Ga 2.45
Co (0.0000, 0.8156, 0.3687)  6 Co 2.37-2.65, 2 Ga 2.52
Co (0.0000, 0.1844, 0.6313)  6 Co 2.37-2.65, 2 Ga 2.52
Co (0.5000, 0.0000, 0.5000)  6 Co 2.37-2.40, 2 Ga 2.45
Ga (0.5000, 0.0000, 0.0000)  8 Co 2.45-2.52

Its space group is No. 65. The calculation puts the density of states at the Fermi level at 0.706 states/eV/atom. The formation energy comes out at -5.42 kcal/mol of atoms. The value obtained for the electronic total energy is -134.77 eV/cell.


DFT (meta-GGA SCAN) results for a PBEsol-optimized structure of BAs2BrO.

abc: 4.3265 4.3190 4.3190
angles: 90.00 90.00 90.00
Last column: nearest neighbours and their distance in Å.
Positions (direct):
Br (0.5000, 0.0000, 0.0000)  2 B 2.16
B (0.0000, 0.0000, 0.0000)  4 As 2.16, 2 Br 2.16
As (0.0000, 0.0000, 0.5000)  2 B 2.16
As (0.0000, 0.5000, 0.0000)  2 B 2.16
O (0.5000, 0.5000, 0.5000)  4 Br 3.05, 8 As 3.06

Its space group is No. 123. The calculation puts the density of states at the Fermi level at 0.593 states/eV/atom. The value obtained for the electronic total energy is -67.53 eV/cell.


DFT (meta-GGA SCAN) results for a PBEsol-optimized structure of TlInMo.

abc: 2.9456 2.9456 7.4266
angles: 101.44 101.44 90.00
Last column: nearest neighbours and their distance in Å.
Positions (direct):
In (0.0177, 0.0177, 0.0353)  4 Mo 2.93, 4 In 2.95
Tl (0.3197, 0.3197, 0.6395)  4 Tl 2.95, 4 Mo 3.06
Mo (0.6626, 0.6626, 0.3252)  4 In 2.93, 4 Mo 2.95, 4 Tl 3.06

Its space group is No. 107. The calculation puts the density of states at the Fermi level at 0.833 states/eV/atom. The formation energy comes out at 15.38 kcal/mol of atoms. The value obtained for the electronic total energy is -138.63 eV/cell.


DFT (meta-GGA SCAN) results for a PBEsol-optimized structure of MgTc2Os.

abc: 2.7590 2.7590 7.7961
angles: 90.00 90.00 90.00
Last column: nearest neighbours and their distance in Å.
Positions (direct):
Tc (0.5000, 0.5000, 0.2325)  8 Tc 2.71-2.76, 4 Mg 2.89
Tc (0.0000, 0.0000, 0.9919)  4 Os 2.61, 8 Tc 2.71-2.76
Os (0.5000, 0.5000, 0.7688)  4 Tc 2.61, 4 Os 2.76, 4 Mg 2.82
Mg (0.0000, 0.0000, 0.5068)  4 Mg 2.76, 4 Os 2.82, 4 Tc 2.89

Its space group is No. 99. The calculation puts the density of states at the Fermi level at 0.911 states/eV/atom. The formation energy comes out at 3.28 kcal/mol of atoms. The value obtained for the electronic total energy is -146.41 eV/cell.


Number 3 is which compound? DyGaCo4


electronic total energy of number 4 (BAs2BrO)? -67.53 eV/cell


Number 5 is which compound? TlInMo